one) First-principles (PBE) data for a geometry-optimized GaTeO4 structure, as listed in Alexandria.

Lattice parameters (Å, degrees): 4.8747 5.4917 5.8310 92.96 91.16 97.72
With the nearest neighbours (Å) after each atom.
Space group P-1 (No. 2)
Asymmetric unit:
Ga 0.0544 0.4668 0.2348 [2 per cell]  5 O 1.92-2.13
Te 0.0000 0.0000 0.5000 [1 per cell]  6 O 1.93-2.01
Te 0.5000 0.0000 0.0000 [1 per cell]  6 O 2.15-2.27
O 0.1707 0.6975 0.4905 [2 per cell]  2 Ga 1.93-2.13, 1 Te 1.95
O 0.2297 0.6503 0.9918 [2 per cell]  2 Ga 1.92-1.93
O 0.2408 0.1731 0.2669 [2 per cell]  1 Ga 1.97, 1 Te 2.01
O 0.2536 0.1452 0.7425 [2 per cell]  2 Te 1.93-2.15

***

two) First-principles (PBE) data for a geometry-optimized GaTeO4 structure, as listed in Alexandria.

Lattice parameters (Å, degrees): 5.1070 4.7488 5.8009 90.00 90.00 90.00
With the nearest neighbours (Å) after each atom.
Space group Pnc2 (No. 30)
Asymmetric unit:
Ga 0.0000 0.0000 0.0000 [2 per cell]  6 O 2.00-2.15
Te 0.5000 0.0000 0.3258 [2 per cell]  6 O 2.04-2.10
O 0.1695 0.2356 0.2781 [4 per cell]  2 Ga 2.00-2.15, 1 Te 2.04
O 0.3255 0.7230 0.5636 [4 per cell]  1 Ga 2.01, 2 Te 2.06-2.10

***

Of them, the most stable is one) and the least stable is two).

***

one) First-principles (PBE) data for a geometry-optimized GaTe3O structure, as listed in Alexandria.

Lattice parameters (Å, degrees): 5.2684 5.2684 5.2684 90.00 90.00 90.00
With the nearest neighbours (Å) after each atom.
Space group Pm-3m (No. 221)
Asymmetric unit:
Ga 0.0000 0.0000 0.0000 [1 per cell]  6 Te 2.63
Te 0.0000 0.0000 0.5000 [3 per cell]  2 Ga 2.63
O 0.5000 0.5000 0.5000 [1 per cell]  12 Te 3.73

***

two) First-principles (PBE) data for a geometry-optimized GaTe3O structure, as listed in Alexandria.

Lattice parameters (Å, degrees): 4.8833 4.8833 4.8833 90.00 90.00 90.00
With the nearest neighbours (Å) after each atom.
Space group Pm-3m (No. 221)
Asymmetric unit:
Ga 0.0000 0.0000 0.0000 [1 per cell]  12 Te 3.45
Te 0.0000 0.5000 0.5000 [3 per cell]  2 O 2.44
O 0.5000 0.5000 0.5000 [1 per cell]  6 Te 2.44

***

Of them, the most stable is two) and the least stable is one).

***

one) First-principles (PBE) data for a geometry-optimized Ti4Ga2O structure, as listed in Alexandria.

Lattice parameters (Å, degrees): 11.6919 11.6919 11.6919 90.00 90.00 90.00
With the nearest neighbours (Å) after each atom.
Space group Fd-3m (No. 227, origin choice 2)
Asymmetric unit:
Ti 0.0000 0.0000 0.0000 [16 per cell]  6 Ga 2.61
Ti 0.0662 0.3750 0.8750 [48 per cell]  2 O 2.21
Ga 0.0315 0.0315 0.2185 [32 per cell]  6 Ti 2.61-2.62
O 0.0000 0.0000 0.5000 [16 per cell]  6 Ti 2.21

***

two) First-principles (PBE) data for a geometry-optimized Ti4Ga2O structure, as listed in Alexandria.

Lattice parameters (Å, degrees): 3.9488 3.9488 13.8868 90.00 90.00 90.00
With the nearest neighbours (Å) after each atom.
Space group I4/mmm (No. 139)
Asymmetric unit:
Ti 0.0000 0.0000 0.1614 [4 per cell]  1 O 2.24
Ti 0.0000 0.5000 0.0000 [4 per cell]  2 O 1.97
Ga 0.0000 0.0000 0.3558 [4 per cell]  9 Ti 2.70-2.81
O 0.0000 0.0000 0.0000 [2 per cell]  4 Ti 1.97

***

Of them, the most stable is one) and the least stable is two).

***

one) First-principles (PBE) data for a geometry-optimized Ti6Ga2O structure, as listed in Alexandria.

Lattice parameters (Å, degrees): 3.0622 12.1386 7.2495 90.00 90.00 90.00
With the nearest neighbours (Å) after each atom.
Space group Amm2 (No. 38)
Asymmetric unit:
Ti 0.0000 0.0000 0.0000 [2 per cell]  2 O 2.12
Ti 0.0000 0.1138 0.6288 [4 per cell]  2 O 2.40
Ti 0.5000 0.0000 0.3318 [2 per cell]  4 Ga 2.65, 2 Ti 2.85
Ti 0.5000 0.1984 0.9493 [4 per cell]  4 Ga 2.64-2.68, 1 O 2.65, 2 Ti 2.88
Ga 0.0000 0.1713 0.2485 [4 per cell]  9 Ti 2.64-2.84
O 0.5000 0.0000 0.7976 [2 per cell]  2 Ti 2.12

***

two) First-principles (PBE) data for a geometry-optimized Ti6Ga2O structure, as listed in Alexandria.

Lattice parameters (Å, degrees): 5.7611 5.7611 8.1112 90.00 90.00 90.00
With the nearest neighbours (Å) after each atom.
Space group I4/mmm (No. 139)
Asymmetric unit:
Ti 0.0000 0.0000 0.2396 [4 per cell]  1 O 2.11
Ti 0.2407 0.2407 0.0000 [8 per cell]  1 O 2.11
Ga 0.0000 0.5000 0.2500 [4 per cell]  12 Ti 2.88
O 0.0000 0.0000 0.5000 [2 per cell]  6 Ti 2.11

***

Of them, the most stable is two) and the least stable is one).

***

one) First-principles (PBE) data for a geometry-optimized Tl2GaO structure, as listed in Alexandria.

Lattice parameters (Å, degrees): 7.1463 7.1463 7.4393 90.00 90.00 90.00
With the nearest neighbours (Å) after each atom.
Space group I-42d (No. 122)
Asymmetric unit:
Tl 0.1853 0.2500 0.1250 [8 per cell]  2 O 2.41
Ga 0.0000 0.0000 0.5000 [4 per cell]  4 Tl 3.02
O 0.0000 0.0000 0.0000 [4 per cell]  4 Tl 2.41

***

two) First-principles (PBE) data for a geometry-optimized Tl2GaO structure, as listed in Alexandria.

Lattice parameters (Å, degrees): 6.9880 6.9880 6.9880 90.00 90.00 90.00
With the nearest neighbours (Å) after each atom.
Space group Fm-3m (No. 225)
Asymmetric unit:
Tl 0.2500 0.2500 0.2500 [8 per cell]  4 O 3.03, 4 Ga 3.03
Ga 0.0000 0.0000 0.0000 [4 per cell]  8 Tl 3.03
O 0.0000 0.0000 0.5000 [4 per cell]  8 Tl 3.03

***

Of them, the most stable is one) and the least stable is two).

***

one) First-principles (PBE) data for a geometry-optimized Tl3GaO structure, as listed in Alexandria.

Lattice parameters (Å, degrees): 5.3916 5.3916 5.3916 90.00 90.00 90.00
With the nearest neighbours (Å) after each atom.
Space group Pm-3m (No. 221)
Asymmetric unit:
Tl 0.0000 0.0000 0.5000 [3 per cell]  2 Ga 2.70
Ga 0.0000 0.0000 0.0000 [1 per cell]  6 Tl 2.70
O 0.5000 0.5000 0.5000 [1 per cell]  12 Tl 3.81

***

two) First-principles (PBE) data for a geometry-optimized Tl3GaO structure, as listed in Alexandria.

Lattice parameters (Å, degrees): 5.0928 5.0928 5.0928 90.00 90.00 90.00
With the nearest neighbours (Å) after each atom.
Space group Pm-3m (No. 221)
Asymmetric unit:
Tl 0.0000 0.0000 0.5000 [3 per cell]  2 O 2.55
Ga 0.5000 0.5000 0.5000 [1 per cell]  12 Tl 3.60
O 0.0000 0.0000 0.0000 [1 per cell]  6 Tl 2.55

***

Of them, the most stable is two) and the least stable is one).